Computed, not measured: a relaxed structure of Tb8Nd2Al at the PBE level of DFT.

Values from the calculation:
Energy of formation from the pure elements   -0.0289 eV per atom

Unit cell a=19.345 b=5.517 c=6.506 alpha=90.00 beta=93.85 gamma=90.00
Space group C2/m (No. 12)
Asymmetric unit:
Tb (0.041, 0.000, 0.254)
Tb (0.077, 0.500, 0.605)
Tb (0.153, 0.000, 0.815)
Tb (0.156, 0.500, 0.121)
Nd (0.242, 0.000, 0.333)
Al (0.000, 0.500, 0.000)


Computed, not measured: a relaxed structure of Tb2NdAl3 at the PBE level of DFT.

Values from the calculation:
Energy of formation from the pure elements   -0.3828 eV per atom

Unit cell a=3.641 b=3.641 c=11.034 alpha=90.00 beta=90.00 gamma=90.00
Space group P4/mmm (No. 123)
Asymmetric unit:
Tb (0.000, 0.000, 0.163)
Nd (0.000, 0.000, 0.500)
Al (0.500, 0.500, 0.000)
Al (0.500, 0.500, 0.323)


Computed, not measured: a relaxed structure of TbNd5Al2 at the PBE level of DFT.

Values from the calculation:
Energy of formation from the pure elements   -0.0244 eV per atom

Unit cell a=5.4397 b=5.4397 c=20.1006 alpha=90.00 beta=90.00 gamma=120.00
Space group P6_3/mmc (No. 194)
Asymmetric unit:
Tb (0.3333, 0.6667, 0.2500)
Nd (0.0000, 0.0000, 0.1551)
Nd (0.3333, 0.6667, 0.5554)
Nd (0.3333, 0.6667, 0.7500)
Al (0.3333, 0.6667, 0.1009)


Computed, not measured: a relaxed structure of TbNd2Al at the PBE level of DFT.

Values from the calculation:
Energy of formation from the pure elements   -0.1664 eV per atom

Unit cell a=4.857 b=4.857 c=4.878 alpha=90.00 beta=90.00 gamma=90.00
Space group P4/mmm (No. 123)
Asymmetric unit:
Tb (0.000, 0.000, 0.000)
Nd (0.000, 0.500, 0.500)
Al (0.500, 0.500, 0.000)


Computed, not measured: a relaxed structure of Tb6NdAl at the PBE level of DFT.

Values from the calculation:
Energy of formation from the pure elements   0.2353 eV per atom

Unit cell a=6.914 b=12.133 c=6.875 alpha=90.00 beta=119.47 gamma=90.00
Space group C2/m (No. 12)
Asymmetric unit:
Tb (0.023, 0.218, 0.243)
Tb (0.028, 0.500, 0.763)
Nd (0.000, 0.000, 0.500)
Al (0.000, 0.000, 0.000)


Computed, not measured: a relaxed structure of TbNd4Al4 at the PBE level of DFT.

Values from the calculation:
Energy of formation from the pure elements   -0.1498 eV per atom

Unit cell a=8.907 b=8.907 c=6.073 alpha=90.00 beta=90.00 gamma=90.00
Space group P4_2/n (No. 86, origin choice 2)
Asymmetric unit:
Tb (0.250, 0.250, 0.250)
Nd (0.078, 0.824, 0.626)
Al (0.062, 0.160, 0.853)


Computed, not measured: a relaxed structure of Tb2Nd6Al at the PBE level of DFT.

Values from the calculation:
Energy of formation from the pure elements   -0.0109 eV per atom

Unit cell a=10.372 b=10.394 c=5.473 alpha=90.00 beta=90.00 gamma=90.00
Space group Pnnm (No. 58)
Asymmetric unit:
Tb (0.214, 0.218, 0.000)
Nd (0.039, 0.312, 0.500)
Nd (0.124, 0.879, 0.000)
Nd (0.188, 0.543, 0.000)
Al (0.000, 0.000, 0.500)


Computed, not measured: a relaxed structure of Tb3Nd4Al4 at the PBE level of DFT.

Values from the calculation:
Energy of formation from the pure elements   -0.2211 eV per atom

Unit cell a=3.563 b=9.255 c=18.867 alpha=90.00 beta=90.00 gamma=90.00
Space group Immm (No. 71)
Asymmetric unit:
Tb (0.000, 0.000, 0.000)
Tb (0.000, 0.500, 0.093)
Nd (0.000, 0.323, 0.335)
Al (0.000, 0.000, 0.276)
Al (0.000, 0.221, 0.500)


Computed, not measured: a relaxed structure of Tb5NdAl3 at the PBE level of DFT.

Values from the calculation:
Energy of formation from the pure elements   -0.2492 eV per atom

Unit cell a=9.1620 b=9.1620 c=6.6986 alpha=90.00 beta=90.00 gamma=120.00
Space group P6_3/mcm (No. 193)
Asymmetric unit:
Tb (0.0000, 0.3316, 0.2500)
Tb (0.3333, 0.6667, 0.0000)
Nd (0.0000, 0.0000, 0.0000)
Al (0.0000, 0.3388, 0.7500)


Computed, not measured: a relaxed structure of Tb2Nd2Al at the PBE level of DFT.

Values from the calculation:
Energy of formation from the pure elements   0.4232 eV per atom

Unit cell a=4.9587 b=4.9587 c=25.4920 alpha=90.00 beta=90.00 gamma=120.00
Space group R-3m (No. 166, hexagonal axes)
Asymmetric unit:
Tb (0.0000, 0.0000, 0.2014)
Nd (0.0000, 0.0000, 0.0659)
Al (0.0000, 0.0000, 0.5000)


Computed, not measured: a relaxed structure of TbNd2Al3 at the PBE level of DFT.

Values from the calculation:
Energy of formation from the pure elements   -0.3664 eV per atom

Unit cell a=5.212 b=7.398 c=8.248 alpha=90.00 beta=108.37 gamma=90.00
Space group P2/m (No. 10)
Asymmetric unit:
Tb (0.167, 0.000, 0.334)
Nd (0.165, 0.500, 0.329)
Nd (0.500, 0.000, 0.000)
Nd (0.500, 0.500, 0.000)
Al (0.000, 0.241, 0.000)
Al (0.331, 0.242, 0.662)


Computed, not measured: a relaxed structure of Tb4Nd3Al at the PBE level of DFT.

Values from the calculation:
Energy of formation from the pure elements   -0.0832 eV per atom

Unit cell a=3.596 b=3.596 c=19.333 alpha=90.00 beta=90.00 gamma=90.00
Space group P4/mmm (No. 123)
Asymmetric unit:
Tb (0.000, 0.000, 0.097)
Tb (0.000, 0.000, 0.366)
Nd (0.500, 0.500, 0.232)
Nd (0.500, 0.500, 0.500)
Al (0.500, 0.500, 0.000)